Record 1
Entry from the Alexandria database: an optimized crystal structure of EuInRh2 (PBE-GGA).

Properties
space-group type: P4/mmm, No. 123
ΔH_f (0 K): -0.372 eV per atom

Lattice parameters (Å, degrees): 3.3634 3.3634 6.8205 90.00 90.00 90.00
Last column: nearest neighbours and their distance in Å.
Sites, in units of the cell vectors:
Eu 0.0000 0.0000 0.0000  8 Rh 3.06, 4 Eu 3.36, 2 In 3.41
In 0.0000 0.0000 0.5000  8 Rh 2.81
Rh 0.5000 0.5000 0.2814  4 In 2.81, 1 Rh 2.98, 4 Eu 3.06
Rh 0.5000 0.5000 0.7186  4 In 2.81, 1 Rh 2.98, 4 Eu 3.06



Record 2
Entry from the Alexandria database: an optimized crystal structure of BaCd2Pt (PBE-GGA).

Properties
space-group type: Cmmm, No. 65
ΔH_f (0 K): 0.049 eV per atom

Lattice parameters (Å, degrees): 6.2610 6.2610 3.1766 90.00 90.00 123.26
Last column: nearest neighbours and their distance in Å.
Sites, in units of the cell vectors:
Ba 0.0000 0.0000 0.0000  2 Pt 2.97, 2 Ba 3.18
Cd 0.0000 0.5000 0.5000  4 Cd 2.97-3.18
Cd 0.5000 0.0000 0.5000  4 Cd 2.97-3.18
Pt 0.5000 0.5000 0.0000  2 Ba 2.97, 2 Pt 3.18



Record 3
Entry from the Alexandria database: an optimized crystal structure of CeEuLuAl (PBE-GGA).

Properties
space-group type: F-43m, No. 216
ΔH_f (0 K): 0.012 eV per atom

Lattice parameters (Å, degrees): 5.3591 5.3591 5.3591 60.00 60.00 60.00
Last column: nearest neighbours and their distance in Å.
Sites, in units of the cell vectors:
Ce 0.0000 0.0000 0.0000  4 Al 3.28, 4 Eu 3.28
Eu 0.2500 0.2500 0.2500  4 Lu 3.28, 4 Ce 3.28
Lu 0.5000 0.5000 0.5000  4 Al 3.28, 4 Eu 3.28
Al 0.7500 0.7500 0.7500  4 Lu 3.28, 4 Ce 3.28



Record 4
Entry from the Alexandria database: an optimized crystal structure of La2Sc (PBE-GGA).

Properties
space-group type: Immm, No. 71
relative energy among the computed polymorphs: 14.11 kJ per mole of atoms
ΔH_f (0 K): 0.198 eV per atom

Lattice parameters (Å, degrees): 6.0063 6.0063 6.0063 146.98 123.25 67.25
Last column: nearest neighbours and their distance in Å.
Sites, in units of the cell vectors:
La 0.1790 0.1790 0.0000  4 Sc 3.37-3.64, 7 La 3.41-3.62
La 0.8210 0.8210 0.0000  4 Sc 3.37-3.64, 7 La 3.41-3.62
Sc 0.5000 0.0000 0.5000  8 La 3.37-3.64, 2 Sc 3.41



Record 5
Entry from the Alexandria database: an optimized crystal structure of ZrCuPd3 (PBE-GGA).

Properties
space-group type: Pm-3m, No. 221
relative energy among the computed polymorphs: 88.04 kJ per mole of atoms
ΔH_f (0 K): 0.329 eV per atom

Lattice parameters (Å, degrees): 4.5526 4.5526 4.5526 90.00 90.00 90.00
Last column: nearest neighbours and their distance in Å.
Sites, in units of the cell vectors:
Zr 0.0000 0.0000 0.0000  12 Pd 3.22
Cu 0.5000 0.5000 0.5000  6 Pd 2.28
Pd 0.0000 0.5000 0.5000  2 Cu 2.28
Pd 0.5000 0.0000 0.5000  2 Cu 2.28
Pd 0.5000 0.5000 0.0000  2 Cu 2.28



Record 6
Entry from the Alexandria database: an optimized crystal structure of GaCuSe2 (PBE-GGA).

Properties
space-group type: Imma, No. 74
electronic total energy: -3.77 eV/atom

Lattice parameters (Å, degrees): 6.5240 6.5240 6.5240 132.17 131.94 70.15
Last column: nearest neighbours and their distance in Å.
Sites, in units of the cell vectors:
Ga 0.3750 0.1250 0.2500  6 Se 2.64-2.67
Ga 0.6250 0.8750 0.7500  6 Se 2.64-2.67
Cu 0.1250 0.3750 0.7500  6 Se 2.64-2.67
Cu 0.8750 0.6250 0.2500  6 Se 2.64-2.67
Se 0.1249 0.8749 0.2500  3 Cu 2.64-2.67, 3 Ga 2.66-2.67
Se 0.3747 0.6247 0.7500  3 Ga 2.64-2.67, 3 Cu 2.66-2.67
Se 0.6253 0.3753 0.2500  3 Ga 2.64-2.67, 3 Cu 2.66-2.67
Se 0.8751 0.1251 0.7500  3 Cu 2.64-2.67, 3 Ga 2.66-2.67



Record 7
Entry from the Alexandria database: an optimized crystal structure of BeIn2Mo (PBE-GGA).

Properties
space-group type: R-3m, No. 166
ΔH_f (0 K): 0.553 eV per atom

Lattice parameters (Å, degrees): 8.9928 8.9928 8.9928 19.60 19.60 19.60
Last column: nearest neighbours and their distance in Å.
Sites, in units of the cell vectors:
Be 0.0000 0.0000 0.0000  6 In 2.70
In 0.2562 0.2562 0.2562  3 Be 2.70, 3 Mo 2.95
In 0.7438 0.7438 0.7438  3 Be 2.70, 3 Mo 2.95
Mo 0.5000 0.5000 0.5000  6 In 2.95, 6 Mo 3.06



Record 8
Entry from the Alexandria database: an optimized crystal structure of V3InW (PBE-GGA).

Properties
space-group type: Pm-3m, No. 221
relative energy among the computed polymorphs: 106.33 kJ per mole of atoms
ΔH_f (0 K): 2.278 eV per atom

Lattice parameters (Å, degrees): 4.7798 4.7798 4.7798 90.00 90.00 90.00
Last column: nearest neighbours and their distance in Å.
Sites, in units of the cell vectors:
V 0.0000 0.0000 0.5000  2 In 2.39
V 0.0000 0.5000 0.0000  2 In 2.39
V 0.5000 0.0000 0.0000  2 In 2.39
In 0.0000 0.0000 0.0000  6 V 2.39
W 0.5000 0.5000 0.5000  12 V 3.38



Record 9
Entry from the Alexandria database: an optimized crystal structure of Cs2HfGa2 (PBE-GGA).

Properties
space-group type: P4/mbm, No. 127
relative energy among the computed polymorphs: 25.03 kJ per mole of atoms
ΔH_f (0 K): 0.978 eV per atom

Lattice parameters (Å, degrees): 10.2090 10.2090 3.2976 90.00 90.00 90.00
Last column: nearest neighbours and their distance in Å.
Sites, in units of the cell vectors:
Cs 0.1270 0.3730 0.0000  3 Cs 3.30-3.67, 6 Ga 3.30-3.53
Cs 0.3730 0.8730 0.0000  3 Cs 3.30-3.67, 6 Ga 3.30-3.53
Cs 0.6270 0.1270 0.0000  3 Cs 3.30-3.67, 6 Ga 3.30-3.53
Cs 0.8730 0.6270 0.0000  3 Cs 3.30-3.67, 6 Ga 3.30-3.53
Hf 0.0000 0.0000 0.0000  2 Hf 3.30
Hf 0.5000 0.5000 0.0000  2 Hf 3.30
Ga 0.1750 0.6750 0.5000  2 Ga 3.30, 6 Cs 3.30-3.53
Ga 0.3250 0.1750 0.5000  2 Ga 3.30, 6 Cs 3.30-3.53
Ga 0.6750 0.8250 0.5000  2 Ga 3.30, 6 Cs 3.30-3.53
Ga 0.8250 0.3250 0.5000  2 Ga 3.30, 6 Cs 3.30-3.53



Record 10
Entry from the Alexandria database: an optimized crystal structure of As2CBrF (PBE-GGA).

Properties
space-group type: P4/mmm, No. 123
relative energy among the computed polymorphs: 66.87 kJ per mole of atoms

Lattice parameters (Å, degrees): 4.2913 4.2913 5.6201 90.00 90.00 90.00
Last column: nearest neighbours and their distance in Å.
Sites, in units of the cell vectors:
As 0.0000 0.5000 0.0000  2 F 2.15
As 0.5000 0.0000 0.0000  2 F 2.15
C 0.0000 0.0000 0.5000  4 Br 3.03
Br 0.5000 0.5000 0.5000  2 F 2.81, 4 C 3.03
F 0.5000 0.5000 0.0000  4 As 2.15



Record 11
Entry from the Alexandria database: an optimized crystal structure of SiGePd6 (PBE-GGA).

Properties
space-group type: R-3, No. 148
relative energy among the computed polymorphs: 0.00 kJ per mole of atoms

Lattice parameters (Å, degrees): 5.4390 5.4390 5.4390 66.26 66.26 66.26
Last column: nearest neighbours and their distance in Å.
Sites, in units of the cell vectors:
Si 0.0000 0.0000 0.0000  6 Pd 2.36
Ge 0.5000 0.5000 0.5000  6 Pd 2.45
Pd 0.0222 0.4637 0.7574  1 Si 2.36, 1 Ge 2.45
Pd 0.2426 0.9778 0.5363  1 Si 2.36, 1 Ge 2.45
Pd 0.4637 0.7574 0.0222  1 Si 2.36, 1 Ge 2.45
Pd 0.5363 0.2426 0.9778  1 Si 2.36, 1 Ge 2.45
Pd 0.7574 0.0222 0.4637  1 Si 2.36, 1 Ge 2.45
Pd 0.9778 0.5363 0.2426  1 Si 2.36, 1 Ge 2.45



Record 12
Entry from the Alexandria database: an optimized crystal structure of Mn2CrSi (PBE-GGA).

Properties
space-group type: Pm, No. 6
electronic total energy: -8.49 eV/atom

Lattice parameters (Å, degrees): 2.5386 3.8735 4.7343 90.00 104.38 90.00
Last column: nearest neighbours and their distance in Å.
Sites, in units of the cell vectors:
Mn 0.0000 0.0000 0.0000  2 Cr 2.29-2.44, 2 Si 2.42, 4 Mn 2.51-2.54
Mn 0.4703 0.5000 0.7372  2 Si 2.36-2.38, 2 Cr 2.39, 4 Mn 2.51-2.54
Cr 0.0311 0.0000 0.4884  4 Mn 2.29-2.44, 2 Si 2.50, 2 Cr 2.54
Si 0.4901 0.5000 0.2377  4 Mn 2.36-2.42, 2 Cr 2.50, 2 Si 2.54